Record 1
VASP calculation (PBE) on a geometry-optimized Na5Hg4Sb structure.

abc: 5.276 5.276 11.827
angles: 77.45 77.45 59.55
Fractional positions:
Na 0.953 0.953 0.546
Na 0.139 0.139 0.977
Na 0.235 0.235 0.694
Na 0.667 0.667 0.405
Na 0.045 0.045 0.265
Hg 0.426 0.426 0.125
Hg 0.525 0.525 0.819
Hg 0.762 0.762 0.111
Hg 0.855 0.855 0.829
Sb 0.330 0.330 0.418

As for the total moment: 0.000 μB per atom. As for the symmetry: Cm (8). As for the formation energy (no corrections): -274 meV/atom. The value obtained for the calculated total energy is -1.467 eV per atom. The value obtained for the energy above the most stable polymorph in this dataset is 0 meV per atom.

***

Record 2
VASP calculation (PBE) on a geometry-optimized NaHgSb structure.

abc: 4.877 4.877 7.881
angles: 90.00 90.00 120.00
Fractional positions:
Sb 0.333 0.667 0.450
Sb 0.667 0.333 0.950
Hg 0.333 0.667 0.059
Hg 0.667 0.333 0.559
Na 0.000 0.000 0.741
Na 0.000 0.000 0.241

As for the total moment: 0.000 μB per atom. As for the symmetry: P6_3mc (186). As for the formation energy (no corrections): -265 meV/atom. The value obtained for the calculated total energy is -2.179 eV per atom.

***

Record 3
VASP calculation (PBE) on a geometry-optimized NaHgSb4 structure.

abc: 6.436 6.436 6.436
angles: 60.00 60.00 60.00
Fractional positions:
Sb 0.632 0.632 0.104
Sb 0.632 0.104 0.632
Sb 0.632 0.632 0.632
Sb 0.104 0.632 0.632
Hg 0.000 0.000 0.000
Na 0.250 0.250 0.250

As for the total moment: 0.000 μB per atom. As for the symmetry: F-43m (216). As for the formation energy (no corrections): 68 meV/atom. The value obtained for the calculated total energy is -2.951 eV per atom. The value obtained for the energy above the most stable polymorph in this dataset is 157 meV per atom.

***

Record 4
VASP calculation (PBE) on a geometry-optimized Na8Hg3Sb2 structure.

abc: 5.350 8.707 8.707
angles: 75.65 78.54 78.54
Fractional positions:
Na 0.202 0.563 0.563
Na 0.798 0.437 0.437
Na 0.940 0.175 0.175
Na 0.060 0.825 0.825
Na 0.580 0.623 0.083
Na 0.580 0.083 0.623
Na 0.420 0.917 0.377
Na 0.420 0.377 0.917
Hg 0.500 0.000 0.000
Hg 0.000 0.216 0.784
Hg 0.000 0.784 0.216
Sb 0.371 0.307 0.307
Sb 0.629 0.693 0.693

As for the total moment: 0.000 μB per atom. As for the symmetry: C2/m (12). As for the formation energy (no corrections): -284 meV/atom. The value obtained for the calculated total energy is -1.800 eV per atom.

***

Record 5
VASP calculation (PBE) on a geometry-optimized Na3HgSb structure.

abc: 5.526 5.526 5.526
angles: 90.00 90.00 90.00
Fractional positions:
Sb 0.500 0.500 0.500
Hg 0.000 0.000 0.000
Na 0.000 0.500 0.000
Na 0.000 0.000 0.500
Na 0.500 0.000 0.000

As for the total moment: 0.000 μB per atom. As for the symmetry: Pm-3m (221). As for the formation energy (no corrections): 51 meV/atom. The value obtained for the calculated total energy is -1.625 eV per atom. The value obtained for the energy above the most stable polymorph in this dataset is 406 meV per atom.

***

Record 6
VASP calculation (PBE) on a geometry-optimized Na4Hg5Sb structure.

abc: 5.141 7.830 7.830
angles: 83.75 70.84 70.84
Fractional positions:
Na 0.250 0.305 0.695
Na 0.581 0.169 0.169
Na 0.919 0.831 0.831
Na 0.250 0.695 0.305
Hg 0.516 0.565 0.904
Hg 0.984 0.096 0.435
Hg 0.750 0.500 0.500
Hg 0.516 0.904 0.565
Hg 0.984 0.435 0.096
Sb 0.250 0.000 0.000

As for the total moment: 0.000 μB per atom. As for the symmetry: Immm (71). As for the formation energy (no corrections): -240 meV/atom. The value obtained for the calculated total energy is -1.331 eV per atom.